1.
VASP calculation (PBE-GGA) on a relaxed SrCaO2F crystal.

Lattice parameters (Å, degrees): 4.3939 4.3939 4.3303 90.00 90.00 90.00
Each line ends with the local moment (μB).
Positions (direct):
F1 0.0000 0.0000 0.5000  0.00
O1 0.5000 0.0000 0.0000  0.42
O2 0.0000 0.5000 0.0000  0.42
Sr1 0.5000 0.5000 0.5000  -0.01
Ca1 0.0000 0.0000 0.0000  0.01


2.
VASP calculation (PBE-GGA) on a relaxed CaTaO2F crystal.

Lattice parameters (Å, degrees): 4.3291 4.3291 3.9756 90.00 90.00 90.00
Each line ends with the local moment (μB).
Positions (direct):
O1 0.5000 0.0000 0.0000  -0.12
O2 0.0000 0.5000 0.0000  -0.12
Ta1 0.5000 0.5000 0.5000  1.65
F1 0.0000 0.0000 0.5000  0.03
Ca1 0.0000 0.0000 0.0000  0.00


3.
VASP calculation (PBE-GGA) on a relaxed Ca2Ta2O6F crystal.

Lattice parameters (Å, degrees): 7.3559 7.3559 7.3559 60.00 60.00 60.00
Positions (direct):
Ca1 0.1250 0.6250 0.1250
Ca2 0.6250 0.1250 0.1250
Ca3 0.1250 0.1250 0.6250
Ca4 0.1250 0.1250 0.1250
O1 0.9598 0.5402 0.9598
O2 0.5402 0.9598 0.9598
O3 0.5402 0.9598 0.5402
O4 0.5402 0.5402 0.9598
O5 0.7098 0.2902 0.2902
O6 0.7098 0.7098 0.2902
O7 0.2902 0.7098 0.7098
O8 0.7098 0.2902 0.7098
O9 0.2902 0.7098 0.2902
O10 0.9598 0.9598 0.5402
O11 0.2902 0.2902 0.7098
O12 0.9598 0.5402 0.5402
F1 0.0000 0.0000 0.0000
F2 0.2500 0.2500 0.2500
Ta1 0.6250 0.1250 0.6250
Ta2 0.6250 0.6250 0.6250
Ta3 0.6250 0.6250 0.1250
Ta4 0.1250 0.6250 0.6250


4.
VASP calculation (PBE-GGA) on a relaxed Ca3Ta4O12F2 crystal.

Values from the calculation:
As for the energy relative to the lowest polymorph listed for this composition: 0.000 eV/atom.

Lattice parameters (Å, degrees): 10.5365 10.5365 10.5365 90.00 90.00 90.00
Positions (direct):
O1 0.7488 0.9460 0.2463
O2 0.9377 0.7424 0.2408
O3 0.5076 0.3123 0.0092
O4 0.5540 0.7537 0.2488
O5 0.0540 0.7463 0.7512
O6 0.5012 0.0037 0.3040
O7 0.7576 0.7592 0.4377
O8 0.4460 0.2537 0.2512
O9 0.9924 0.6877 0.5092
O10 0.5623 0.2576 0.7408
O11 0.7424 0.2408 0.9377
O12 0.6877 0.5092 0.9924
O13 0.0037 0.3040 0.5012
O14 0.9988 0.9963 0.8040
O15 0.7512 0.0540 0.7463
O16 0.9460 0.2463 0.7488
O17 0.1877 0.9908 0.0076
O18 0.2592 0.0623 0.2424
O19 0.7592 0.4377 0.7576
O20 0.4377 0.7576 0.7592
O21 0.7463 0.7512 0.0540
O22 0.5092 0.9924 0.6877
O23 0.8040 0.9988 0.9963
O24 0.9963 0.8040 0.9988
O25 0.5037 0.1960 0.4988
O26 0.9908 0.0076 0.1877
O27 0.7537 0.2488 0.5540
O28 0.3123 0.0092 0.5076
O29 0.0092 0.5076 0.3123
O30 0.6960 0.0012 0.4963
O31 0.8123 0.4908 0.4924
O32 0.0076 0.1877 0.9908
O33 0.0012 0.4963 0.6960
O34 0.4963 0.6960 0.0012
O35 0.4924 0.8123 0.4908
O36 0.2512 0.4460 0.2537
O37 0.2537 0.2512 0.4460
O38 0.2488 0.5540 0.7537
O39 0.3040 0.5012 0.0037
O40 0.2463 0.7488 0.9460
O41 0.2576 0.7408 0.5623
O42 0.4988 0.5037 0.1960
O43 0.0623 0.2424 0.2592
O44 0.7408 0.5623 0.2576
O45 0.2408 0.9377 0.7424
O46 0.4908 0.4924 0.8123
O47 0.2424 0.2592 0.0623
O48 0.1960 0.4988 0.5037
Ta1 0.6262 0.1250 0.6238
Ta2 0.3750 0.8750 0.6250
Ta3 0.8738 0.8750 0.1238
Ta4 0.3762 0.1262 0.3750
Ta5 0.1250 0.6238 0.6262
Ta6 0.3750 0.3762 0.1262
Ta7 0.6250 0.3750 0.8750
Ta8 0.1262 0.3750 0.3762
Ta9 0.8762 0.3738 0.6250
Ta10 0.1250 0.1250 0.1250
Ta11 0.8750 0.6250 0.3750
Ta12 0.6238 0.6262 0.1250
Ta13 0.3738 0.6250 0.8762
Ta14 0.1238 0.8738 0.8750
Ta15 0.6250 0.8762 0.3738
Ta16 0.8750 0.1238 0.8738
F1 0.0115 0.5115 0.9885
F2 0.5115 0.9885 0.0115
F3 0.2615 0.7385 0.2385
F4 0.7615 0.7615 0.7615
F5 0.2385 0.2615 0.7385
F6 0.9885 0.0115 0.5115
F7 0.4885 0.4885 0.4885
F8 0.7385 0.2385 0.2615
Ca1 0.3622 0.8878 0.1250
Ca2 0.6250 0.1378 0.1122
Ca3 0.1122 0.6250 0.1378
Ca4 0.3878 0.3750 0.6378
Ca5 0.3750 0.6378 0.3878
Ca6 0.1378 0.1122 0.6250
Ca7 0.8878 0.1250 0.3622
Ca8 0.6378 0.3878 0.3750
Ca9 0.6122 0.8750 0.8622
Ca10 0.8750 0.8622 0.6122
Ca11 0.1250 0.3622 0.8878
Ca12 0.8622 0.6122 0.8750


5.
VASP calculation (PBE-GGA) on a relaxed CaTaOF2 crystal.

Values from the calculation:
As for the energy relative to the lowest polymorph listed for this composition: 0.000 eV/atom.

Lattice parameters (Å, degrees): 4.4613 4.4613 3.9976 90.00 90.00 90.00
Each line ends with the local moment (μB).
Positions (direct):
Ca1 0.5000 0.5000 0.5000  0.09
F1 0.5000 0.0000 0.0000  0.06
F2 0.0000 0.5000 0.0000  0.06
Ta1 0.0000 0.0000 0.0000  1.33
O1 0.0000 0.0000 0.5000  -0.05


6.
VASP calculation (PBE-GGA) on a relaxed CaTaO2F crystal.

Lattice parameters (Å, degrees): 4.0555 4.0555 4.2557 90.00 90.00 90.00
Positions (direct):
O1 0.5000 0.0000 0.0000
O2 0.0000 0.5000 0.0000
Ta1 0.0000 0.0000 0.0000
F1 0.0000 0.0000 0.5000
Ca1 0.5000 0.5000 0.5000


7.
VASP calculation (PBE-GGA) on a relaxed Ca2TaOF crystal.

Lattice parameters (Å, degrees): 4.3644 5.2420 4.3644 90.00 90.00 90.00
Each line ends with the local moment (μB).
Positions (direct):
F1 0.0000 0.0000 0.0000  0.00
O1 0.0000 0.5000 0.0000  0.02
Ca1 0.0000 0.0000 0.5000  0.09
Ca2 0.5000 0.0000 0.0000  0.08
Ta1 0.5000 0.5000 0.5000  1.78


8.
VASP calculation (PBE-GGA) on a relaxed Ca3Ta4O12F2 crystal.

Values from the calculation:
As for the energy relative to the lowest polymorph listed for this composition: 0.018 eV/atom.

Lattice parameters (Å, degrees): 7.3945 7.3945 7.3945 60.89 60.89 60.89
Positions (direct):
O1 0.3144 0.3144 0.9443
O2 0.6856 0.0557 0.6856
O3 0.9288 0.9288 0.3183
O4 0.0712 0.6817 0.0712
O5 0.0712 0.0712 0.6817
O6 0.9288 0.3183 0.9288
O7 0.9443 0.3144 0.3144
O8 0.3183 0.9288 0.9288
O9 0.3144 0.9443 0.3144
O10 0.6856 0.6856 0.0557
O11 0.6817 0.0712 0.0712
O12 0.0557 0.6856 0.6856
Ta1 0.5000 0.0000 0.0000
Ta2 0.0000 0.0000 0.0000
Ta3 0.0000 0.5000 0.0000
Ta4 0.0000 0.0000 0.5000
Ca1 0.5000 0.5000 0.0000
Ca2 0.0000 0.5000 0.5000
Ca3 0.5000 0.0000 0.5000
F1 0.3618 0.3618 0.3618
F2 0.6382 0.6382 0.6382


Energy relative to the elements, uncorrected per entry: -2.497 -0.885 -3.034 -3.159 -1.999 -2.347 -0.348 -3.141 eV/atom
Calculated volume per entry: 16.72 14.90 12.79 13.93 15.91 14.00 19.97 13.89 A^3/atom